(1)
DFT (PBE) results for a geometry-optimized Tb2Tc2P2C structure.

```
Tb2Tc2P2C
1.0
3.9282 0.0027 -0.0011
1.9628 5.6121 1.1972
-0.0019 2.8528 6.0494
Tc Tb P C
2 2 2 1
Cartesian
3.9261 4.2084 4.6747
1.9630 4.2592 2.5708
1.9644 1.2404 1.2284
3.9247 7.2272 6.0171
3.9283 2.9944 2.5877
1.9608 5.4732 4.6579
0.0000 0.0000 0.0000
```

Properties
- SG: C2/m, No. 12
- Energy of formation: -896 meV/atom



(2)
DFT (PBE) results for a geometry-optimized TcPC structure.

```
TcPC
1.0
2.9308 0.0000 0.0000
0.0000 2.7942 0.0000
0.0000 0.0000 4.1413
P C Tc
1 1 1
Cartesian
1.4654 1.3971 3.7199
1.4654 0.0000 0.8077
0.0000 1.3971 1.8392
```

Properties
- SG: Pmm2, No. 25
- Energy of formation: 427 meV/atom
- Offset from the most stable computed form: 385 meV/atom



(3)
DFT (PBE) results for a geometry-optimized TcPC2 structure.

```
TcPC2
1.0
-0.9019 -2.4948 -1.3501
1.9994 -1.5047 1.4448
-7.3155 -1.8124 8.2358
C Tc P
4 2 2
Cartesian
-5.2418 -3.4343 6.5664
-2.5837 -1.7758 1.7261
-4.3308 -1.0729 4.8756
0.3266 -0.9191 1.4801
-1.2083 -1.4350 0.1776
-3.8664 -3.0936 5.0179
-6.8776 -2.8396 6.5602
-2.2202 -2.6857 3.1647
```

Properties
- SG: Amm2, No. 38
- Energy of formation: 663 meV/atom



(4)
DFT (PBE) results for a geometry-optimized TcPC2 structure.

```
TcPC2
1.0
-1.3194 -0.9449 4.8715
2.6925 -1.8367 0.3730
3.2814 4.9349 0.6124
Tc P C
2 2 4
Cartesian
2.6042 1.1549 1.3144
2.8987 4.5407 1.4341
-0.4368 0.2668 4.4671
2.5502 1.8160 4.9599
-0.0969 0.4275 2.8041
3.5452 2.7595 2.4235
2.8901 1.9766 3.2968
0.5582 1.2104 1.9308
```

Properties
- SG: Cm, No. 8
- Energy of formation: 573 meV/atom



(5)
DFT (PBE) results for a geometry-optimized TcPC2 structure.

```
TcPC2
1.0
-2.9472 0.0890 0.3827
-1.6151 -0.0905 -3.5973
-1.5402 -3.6539 -0.8690
C Tc P
2 1 1
Cartesian
-3.2605 -1.5993 -0.6315
-3.5456 -2.7786 -1.4064
-5.2057 -3.2859 -2.5924
-3.2879 -1.1638 -3.4936
```

Properties
- SG: P1, No. 1
- Energy of formation: 622 meV/atom



(6)
DFT (PBE) results for a geometry-optimized TcPC2 structure.

```
TcPC2
1.0
-0.7702 2.6455 -3.8439
-2.8366 -0.4318 0.2712
0.1717 3.2609 6.9874
C Tc P
4 2 2
Cartesian
-1.9669 5.4346 3.3942
-0.0812 2.7413 3.5148
-1.5854 0.8950 0.1568
-0.6344 4.0200 -0.2350
0.0174 3.4129 5.6158
-1.4867 1.5666 2.2577
-1.9047 1.7582 -1.8088
-0.4006 3.6046 1.5492
```

Properties
- SG: Cm, No. 8
- Energy of formation: 637 meV/atom



(7)
DFT (PBE) results for a geometry-optimized TcPC2 structure.

```
TcPC2
1.0
-1.8838 -1.8743 1.2335
2.4660 -0.1433 1.7428
-1.8289 4.1462 2.3308
C P Tc
2 1 1
Cartesian
-1.7086 -1.1203 1.5435
-0.0274 -0.0674 3.3882
-2.1381 3.1638 2.7052
-0.2023 1.7433 2.4219
```

Properties
- SG: P1, No. 1
- Energy of formation: 426 meV/atom



(8)
DFT (PBE) results for a geometry-optimized TcPC structure.

```
TcPC
1.0
-1.5296 -1.1724 -2.0984
-0.6310 -0.5786 2.7175
-8.4333 10.5044 0.2787
C Tc P
3 3 3
Cartesian
-9.1481 8.8881 -0.2315
-3.2263 2.0830 1.1880
-5.1069 6.3611 0.1688
-7.8518 7.8445 1.3409
-1.2990 1.6181 0.0429
-5.3402 4.1451 -0.3573
-2.9345 3.6552 0.0970
-1.0539 -0.6229 1.1163
-6.9757 6.1822 -0.3032
```

Properties
- SG: R3m, No. 160
- Energy of formation: 475 meV/atom
- Offset from the most stable computed form: 433 meV/atom



(9)
DFT (PBE) results for a geometry-optimized TcPC2 structure.

```
TcPC2
1.0
4.6490 0.0000 0.0000
0.0000 4.6490 0.0000
2.3245 2.3245 4.0110
C P Tc
4 2 2
Cartesian
3.2520 1.1622 1.0028
5.8112 5.5765 3.0083
1.3970 3.4867 1.0028
3.4867 3.7215 3.0083
2.3245 4.6490 2.0055
2.3245 2.3245 0.0000
4.6490 2.3245 2.0055
0.0000 0.0000 0.0000
```

Properties
- SG: I-42d, No. 122
- Energy of formation: 559 meV/atom



(10)
DFT (PBE) results for a geometry-optimized TcPC2 structure.

```
TcPC2
1.0
2.8525 0.0191 0.0310
1.4258 2.6775 0.0162
1.4283 0.1750 5.6321
C Tc P
2 1 1
Cartesian
2.4755 2.4731 2.0253
2.4867 2.6801 0.6713
3.8906 1.7442 3.3429
5.3544 2.8425 5.1913
```

Properties
- SG: P1, No. 1
- Energy of formation: 434 meV/atom



(11)
DFT (PBE) results for a geometry-optimized TcPC structure.

```
TcPC
1.0
2.8389 0.0000 0.0000
0.0000 2.9797 0.0000
0.0000 0.0000 8.6651
C Tc P
2 2 2
Cartesian
1.4195 1.4898 7.5472
1.4195 0.0000 3.2147
0.0000 1.4898 2.4152
0.0000 0.0000 6.7477
0.0000 1.4898 0.1006
0.0000 0.0000 4.4332
```

Properties
- SG: Amm2, No. 38
- Energy of formation: 384 meV/atom
- Offset from the most stable computed form: 343 meV/atom



(12)
DFT (PBE) results for a geometry-optimized TcPC structure.

```
TcPC
1.0
3.0526 0.0000 0.0000
-1.5263 2.6436 0.0000
0.0000 0.0000 4.5207
P C Tc
1 1 1
Cartesian
0.0000 1.7624 3.9765
0.0000 1.7624 1.2073
1.5263 0.8812 2.3989
```

Properties
- SG: P3m1, No. 156
- Energy of formation: 41 meV/atom
- Offset from the most stable computed form: 0 meV/atom



(13)
DFT (PBE) results for a geometry-optimized TcP2C structure.

```
TcP2C
1.0
5.1735 0.0000 0.0000
0.0000 5.1735 0.0000
2.5867 2.5867 3.9490
Tc C P
2 2 4
Cartesian
0.0000 0.0000 0.0000
5.1735 2.5867 1.9745
2.5867 2.5867 0.0000
2.5867 5.1735 1.9745
3.8801 4.2453 2.9617
3.5149 1.2934 0.9872
1.6586 3.8801 0.9872
6.4668 6.1016 2.9617
```

Properties
- SG: I-42d, No. 122
- Energy of formation: 276 meV/atom



(14)
DFT (PBE) results for a geometry-optimized TcPC structure.

```
TcPC
1.0
2.8007 0.3987 0.2379
1.0164 2.9265 0.0692
1.0118 0.3709 4.3786
P C Tc
1 1 1
Cartesian
2.1407 2.2718 4.1601
2.4059 2.2267 1.1420
1.0391 0.9946 2.3460
```

Properties
- SG: Cm, No. 8
- Energy of formation: 388 meV/atom
- Offset from the most stable computed form: 347 meV/atom



(15)
DFT (PBE) results for a geometry-optimized TcPC2 structure.

```
TcPC2
1.0
2.8871 0.0000 0.0000
-1.4436 2.5003 0.0000
0.0000 0.0000 17.5422
C P Tc
6 3 3
Cartesian
0.0000 1.6669 14.0670
1.4436 0.8334 17.5044
0.0000 1.6669 5.8095
1.4436 0.8334 8.2196
0.0000 0.0000 11.6569
0.0000 0.0000 2.3721
0.0000 1.6669 12.3174
1.4436 0.8334 6.4699
0.0000 0.0000 0.6225
0.0000 0.0000 9.4375
1.4436 0.8334 15.2849
0.0000 1.6669 3.5901
```

Properties
- SG: R3m, No. 160
- Energy of formation: 334 meV/atom



(16)
DFT (PBE) results for a geometry-optimized TcPC2 structure.

```
TcPC2
1.0
-0.6999 -1.3832 2.3876
2.0350 -1.0352 -1.7003
4.1562 3.1612 3.0497
Tc P C
1 1 2
Cartesian
2.3279 1.7706 1.7082
3.9904 3.0351 2.9280
0.6427 -0.9394 1.3412
1.6571 -0.1678 2.0856
```

Properties
- SG: P3m1, No. 156
- Energy of formation: 272 meV/atom



(17)
DFT (PBE) results for a geometry-optimized TcPC2 structure.

```
TcPC2
1.0
2.7515 0.0000 0.0000
0.0000 2.9137 0.0000
0.0000 0.0000 5.2655
P Tc C
1 1 2
Cartesian
1.3758 0.0000 4.3789
0.0000 1.4569 1.7336
1.3758 1.4569 3.3676
1.3758 0.0000 0.9016
```

Properties
- SG: Pmm2, No. 25
- Energy of formation: 520 meV/atom



(18)
DFT (PBE) results for a geometry-optimized Tc2PC structure.

```
Tc2PC
1.0
3.7748 -0.7995 1.0818
1.1990 -3.7995 0.4307
2.5440 -1.6103 -2.6446
Tc P C
2 1 1
Cartesian
1.8794 -1.5523 -0.2830
5.6383 -4.6569 -0.8491
3.7589 -3.1046 -0.5660
0.0000 0.0000 0.0000
```

Properties
- SG: Fm-3m, No. 225
- Energy of formation: 433 meV/atom
- Offset from the most stable computed form: 148 meV/atom



(19)
DFT (PBE) results for a geometry-optimized TcPC2 structure.

```
TcPC2
1.0
2.8399 0.0000 0.0000
0.0000 2.8714 0.0000
0.0000 0.0000 5.2419
C P Tc
2 1 1
Cartesian
0.0000 0.0000 2.0410
0.0000 0.0000 0.6036
0.0000 1.4357 4.8008
1.4199 1.4357 2.8898
```

Properties
- SG: Pmm2, No. 25
- Energy of formation: 365 meV/atom



(20)
DFT (PBE) results for a geometry-optimized TcPC2 structure.

```
TcPC2
1.0
-2.2127 -0.6864 1.6979
0.2253 -1.1755 -2.6110
3.1441 -4.4778 2.2873
P Tc C
1 1 2
Cartesian
-0.3640 -1.3305 -1.0122
1.8157 -2.5858 1.3209
0.5724 -2.6641 -0.3310
3.0005 -4.2731 2.1828
```

Properties
- SG: P3m1, No. 156
- Energy of formation: 379 meV/atom



(21)
DFT (PBE) results for a geometry-optimized TcP3C structure.

```
TcP3C
1.0
-1.3686 -2.5299 3.5557
4.0990 -2.0239 0.1377
1.4974 3.2280 2.8731
P C Tc
3 1 1
Cartesian
0.7487 1.6140 1.4365
2.0495 -1.0120 0.0688
-0.6843 -1.2649 1.7779
2.1139 -0.6629 3.2832
0.0000 0.0000 0.0000
```

Properties
- SG: Pm-3m, No. 221
- Energy of formation: 1757 meV/atom
- Offset from the most stable computed form: 725 meV/atom



(22)
DFT (PBE) results for a geometry-optimized TcPC structure.

```
TcPC
1.0
-0.7949 0.7863 2.8519
-2.1073 -1.1094 -1.9266
2.7597 -12.6207 4.2490
C Tc P
3 3 3
Cartesian
-0.5058 -5.8007 1.4584
-0.9883 -0.9619 1.6349
2.0839 -9.5301 3.2085
0.4849 -2.2177 0.7466
0.1725 -6.2702 3.4220
0.6549 -11.1090 3.2455
1.4214 -11.9818 5.3449
-0.8559 -4.1999 0.9194
1.7339 -7.9293 2.6696
```

Properties
- SG: R3m, No. 160
- Energy of formation: 227 meV/atom
- Offset from the most stable computed form: 186 meV/atom



(23)
DFT (PBE) results for a geometry-optimized TcPC structure.

```
TcPC
1.0
-1.4713 -1.0320 2.1823
0.2529 -2.5845 -1.0518
7.8638 -1.1641 4.7513
C P Tc
2 2 2
Cartesian
0.3892 -0.0576 0.2352
4.4476 -1.9319 2.0849
7.4492 -2.3763 3.8985
3.3908 -0.5020 2.0487
5.0475 -2.6457 3.9831
0.9892 -0.7714 2.1333
```

Properties
- SG: Amm2, No. 38
- Energy of formation: 290 meV/atom
- Offset from the most stable computed form: 249 meV/atom



(24)
DFT (PBE) results for a geometry-optimized TcPC structure.

```
TcPC
1.0
3.0993 0.0000 -0.0149
0.0000 2.8631 0.0000
-1.5504 0.0000 4.4130
P Tc C
1 1 1
Cartesian
2.3999 0.0000 0.2974
-0.7045 1.4315 3.4743
-0.7009 0.0000 2.0506
```

Properties
- SG: Pm, No. 6
- Energy of formation: 323 meV/atom
- Offset from the most stable computed form: 281 meV/atom



(25)
DFT (PBE) results for a geometry-optimized Tc2PC structure.

```
Tc2PC
1.0
-3.8589 2.9768 1.2023
-1.8690 -3.6115 2.9431
-0.3773 1.4115 5.7734
Tc C P
4 2 2
Cartesian
-5.1999 0.6867 7.8078
-2.5259 0.6371 6.0341
-2.5437 1.6107 2.5016
-1.9408 -1.3810 3.4941
-2.8639 -0.3174 2.0727
-2.5551 -1.2587 5.3946
0.0000 0.0000 0.0000
-3.5501 2.0355 4.5242
```

Properties
- SG: I-42d, No. 122
- Energy of formation: 285 meV/atom
- Offset from the most stable computed form: 0 meV/atom



(26)
DFT (PBE) results for a geometry-optimized TcPC3 structure.

```
TcPC3
1.0
4.0283 0.0000 0.0000
0.0000 4.0283 0.0000
0.0000 0.0000 4.0283
C P Tc
3 1 1
Cartesian
0.0000 0.0000 2.0141
0.0000 2.0141 0.0000
2.0141 0.0000 0.0000
2.0141 2.0141 2.0141
0.0000 0.0000 0.0000
```

Properties
- SG: Pm-3m, No. 221
- Energy of formation: 2330 meV/atom
- Offset from the most stable computed form: 265 meV/atom



(27)
DFT (PBE) results for a geometry-optimized TcPC2 structure.

```
TcPC2
1.0
5.7328 0.0000 -0.0009
0.0000 2.8576 0.0000
-0.0239 0.0000 4.9428
Tc C P
2 4 2
Cartesian
3.2754 1.4288 3.7808
3.2874 0.0000 1.3094
2.0125 1.4288 2.1263
0.5592 0.0000 4.5921
0.5712 1.4288 2.1206
2.0006 0.0000 4.5977
5.3910 0.0000 2.9365
5.4030 1.4288 0.4651
```

Properties
- SG: Cm, No. 8
- Energy of formation: 302 meV/atom